Record 1
DFT (PBE) results for a geometry-optimized SrCr2Os structure.

The space group is F-43m (No. 216) and the conventional cell measures 6.625, 6.625 and 6.625 Å, with angles of 90.00, 90.00 and 90.00 degrees. The distinct sites, in fractional coordinates, are Sr at (0.000, 0.000, 0.000), Cr at (0.000, 0.000, 0.500), Cr at (0.250, 0.250, 0.750) and Os at (0.250, 0.250, 0.250).

The energy relative to the elements is 0.9899 eV per atom. As for the energy above the most stable polymorph in this dataset: 0.3984 eV/atom.

Record 2
DFT (PBE) results for a geometry-optimized La2Pm5SmIn structure.

The space group is Cmc2_1 (No. 36) and the conventional cell measures 5.593, 20.233 and 10.882 Å, with angles of 90.00, 90.00 and 90.00 degrees. The distinct sites, in fractional coordinates, are La at (0.000, 0.117, 0.000), La at (0.000, 0.118, 0.408), Pm at (0.000, 0.013, 0.704), Pm at (0.000, 0.289, 0.008), Pm at (0.000, 0.290, 0.401), Pm at (0.000, 0.384, 0.704), Pm at (0.000, 0.500, 0.454), Sm at (0.000, 0.202, 0.704) and In at (0.000, 0.406, 0.203).

The energy relative to the elements is -0.0243 eV per atom.

Record 3
DFT (PBE) results for a geometry-optimized TaBeI3 structure.

The space group is Pm-3m (No. 221) and the conventional cell measures 5.137, 5.137 and 5.137 Å, with angles of 90.00, 90.00 and 90.00 degrees. The distinct sites, in fractional coordinates, are Ta at (0.000, 0.000, 0.000), Be at (0.500, 0.500, 0.500) and I at (0.000, 0.500, 0.500).

As for the energy above the most stable polymorph in this dataset: 0.2455 eV/atom. The calculation puts the uncorrected formation energy at 4.944 eV per formula unit.

Record 4
DFT (PBE) results for a geometry-optimized U2Ni3Ge4Pd structure.

The space group is P-4m2 (No. 115) and the conventional cell measures 4.118, 4.118 and 9.799 Å, with angles of 90.00, 90.00 and 90.00 degrees. The distinct sites, in fractional coordinates, are U at (0.000, 0.500, 0.245), Ni at (0.000, 0.500, 0.879), Ni at (0.500, 0.500, 0.500), Ge at (0.000, 0.000, 0.000), Ge at (0.000, 0.500, 0.643), Ge at (0.500, 0.500, 0.000) and Pd at (0.000, 0.000, 0.500).

The energy relative to the elements is -0.4155 eV per atom.

Record 5
DFT (PBE) results for a geometry-optimized MgSbPb2 structure.

The space group is F-43m (No. 216) and the conventional cell measures 7.714, 7.714 and 7.714 Å, with angles of 90.00, 90.00 and 90.00 degrees. The distinct sites, in fractional coordinates, are Mg at (0.000, 0.000, 0.000), Sb at (0.250, 0.250, 0.250), Pb at (0.000, 0.000, 0.500) and Pb at (0.250, 0.250, 0.750).

As for the energy above the most stable polymorph in this dataset: 0.0706 eV/atom. The calculation puts the uncorrected formation energy at 0.153 eV per formula unit.

Record 6
DFT (PBE) results for a geometry-optimized Sc4Cd5Ga2 structure.

The space group is P2/m (No. 10) and the conventional cell measures 7.544, 3.359 and 9.317 Å, with angles of 90.00, 94.74 and 90.00 degrees. The distinct sites, in fractional coordinates, are Sc at (0.172, 0.000, 0.367), Sc at (0.247, 0.000, 0.935), Cd at (0.172, 0.500, 0.648), Cd at (0.449, 0.500, 0.184), Cd at (0.500, 0.500, 0.500) and Ga at (0.067, 0.500, 0.131).

The energy relative to the elements is -0.3210 eV per atom.

Record 7
DFT (PBE) results for a geometry-optimized YNpSn6 structure.

The space group is P4/mmm (No. 123) and the conventional cell measures 4.706, 4.706 and 9.264 Å, with angles of 90.00, 90.00 and 90.00 degrees. The distinct sites, in fractional coordinates, are Y at (0.000, 0.000, 0.000), Np at (0.000, 0.000, 0.500), Sn at (0.000, 0.500, 0.253), Sn at (0.500, 0.500, 0.000) and Sn at (0.500, 0.500, 0.500).

The energy relative to the elements is -0.2874 eV per atom.

Record 8
DFT (PBE) results for a geometry-optimized SrMoSe4 structure.

The space group is F-43m (No. 216) and the conventional cell measures 8.380, 8.380 and 8.380 Å, with angles of 90.00, 90.00 and 90.00 degrees. The distinct sites, in fractional coordinates, are Sr at (0.000, 0.000, 0.000), Mo at (0.250, 0.250, 0.750) and Se at (0.124, 0.124, 0.376).

The calculation puts the uncorrected formation energy at 2.395 eV per formula unit.

Record 9
DFT (PBE) results for a geometry-optimized LaTaS2Cl structure.

The space group is P4/mmm (No. 123) and the conventional cell measures 5.531, 5.531 and 5.257 Å, with angles of 90.00, 90.00 and 90.00 degrees. The distinct sites, in fractional coordinates, are La at (0.000, 0.000, 0.000), Ta at (0.500, 0.500, 0.500), S at (0.000, 0.500, 0.000) and Cl at (0.000, 0.000, 0.500).

As for the energy above the most stable polymorph in this dataset: 1.1919 eV/atom. The calculation puts the uncorrected formation energy at 0.762 eV per formula unit.

Record 10
DFT (PBE) results for a geometry-optimized MgAg structure.

The space group is Fm-3m (No. 225) and the conventional cell measures 5.583, 5.583 and 5.583 Å, with angles of 90.00, 90.00 and 90.00 degrees. The distinct sites, in fractional coordinates, are Mg at (0.000, 0.000, 0.000) and Ag at (0.000, 0.000, 0.500).

The energy relative to the elements is 0.0921 eV per atom.

Record 11
DFT (PBE) results for a geometry-optimized LiTe2H2 structure.

The space group is I4/mmm (No. 139) and the conventional cell measures 5.619, 5.619 and 5.909 Å, with angles of 90.00, 90.00 and 90.00 degrees. The distinct sites, in fractional coordinates, are Li at (0.000, 0.000, 0.000), Te at (0.000, 0.500, 0.250) and H at (0.000, 0.000, 0.436).

As for the energy above the most stable polymorph in this dataset: 0.0000 eV/atom.

Record 12
DFT (PBE) results for a geometry-optimized Rb2CdAg structure.

The space group is R3m (No. 160, hexagonal axes) and the conventional cell measures 5.0590, 5.0590 and 27.6871 Å, with angles of 90.00, 90.00 and 120.00 degrees. The distinct sites, in fractional coordinates, are Rb at (0.0000, 0.0000, 0.0000), Rb at (0.0000, 0.0000, 0.1843), Cd at (0.0000, 0.0000, 0.4280) and Ag at (0.0000, 0.0000, 0.5900).

The energy relative to the elements is 0.1347 eV per atom.

Record 13
DFT (PBE) results for a geometry-optimized Cs2CaNiCl6 structure.

The space group is R-3m (No. 166, hexagonal axes) and the conventional cell measures 7.4449, 7.4449 and 36.8880 Å, with angles of 90.00, 90.00 and 120.00 degrees. The distinct sites, in fractional coordinates, are Cs at (0.0000, 0.0000, 0.1272), Cs at (0.0000, 0.0000, 0.2902), Ca at (0.0000, 0.0000, 0.4110), Ni at (0.0000, 0.0000, 0.0000), Ni at (0.0000, 0.0000, 0.5000), Cl at (0.0234, 0.5117, 0.7048) and Cl at (0.0257, 0.5128, 0.1281).

As for the energy above the most stable polymorph in this dataset: 0.0000 eV/atom. The calculation puts the uncorrected formation energy at -17.018 eV per formula unit.

Record 14
DFT (PBE) results for a geometry-optimized Zr3Pa2C4 structure.

The space group is C2/m (No. 12) and the conventional cell measures 11.077, 3.353 and 8.288 Å, with angles of 90.00, 115.41 and 90.00 degrees. The distinct sites, in fractional coordinates, are Zr at (0.000, 0.000, 0.000), Zr at (0.218, 0.000, 0.823), Pa at (0.089, 0.500, 0.406), C at (0.105, 0.500, 0.900) and C at (0.187, 0.000, 0.298).

The energy relative to the elements is -0.6020 eV per atom.

Record 15
DFT (PBE) results for a geometry-optimized SrC3O structure.

The space group is Pm-3m (No. 221) and the conventional cell measures 5.361, 5.361 and 5.361 Å, with angles of 90.00, 90.00 and 90.00 degrees. The distinct sites, in fractional coordinates, are Sr at (0.000, 0.000, 0.000), C at (0.000, 0.000, 0.500) and O at (0.500, 0.500, 0.500).

As for the energy above the most stable polymorph in this dataset: 1.4385 eV/atom. The calculation puts the uncorrected formation energy at 19.708 eV per formula unit.

Record 16
DFT (PBE) results for a geometry-optimized SmY2Au structure.

The space group is R3m (No. 160, hexagonal axes) and the conventional cell measures 3.7809, 3.7809 and 29.5070 Å, with angles of 90.00, 90.00 and 120.00 degrees. The distinct sites, in fractional coordinates, are Sm at (0.0000, 0.0000, 0.0000), Y at (0.0000, 0.0000, 0.5669), Y at (0.0000, 0.0000, 0.7640) and Au at (0.0000, 0.0000, 0.1648).

The energy relative to the elements is -0.2932 eV per atom. As for the energy above the most stable polymorph in this dataset: 0.1468 eV/atom.

Record 17
DFT (PBE) results for a geometry-optimized NdY2Tl3Se6 structure.

The space group is C2/m (No. 12) and the conventional cell measures 7.339, 12.708 and 8.140 Å, with angles of 90.00, 107.49 and 90.00 degrees. The distinct sites, in fractional coordinates, are Nd at (0.000, 0.000, 0.000), Y at (0.000, 0.333, 0.000), Tl at (0.000, 0.165, 0.500), Tl at (0.000, 0.500, 0.500), Se at (0.227, 0.500, 0.206) and Se at (0.240, 0.171, 0.207).

The calculation puts the uncorrected formation energy at -16.663 eV per formula unit.

Record 18
DFT (PBE) results for a geometry-optimized TlRuSe structure.

The space group is P-6m2 (No. 187) and the conventional cell measures 4.1138, 4.1138 and 5.1426 Å, with angles of 90.00, 90.00 and 120.00 degrees. The distinct sites, in fractional coordinates, are Tl at (0.0000, 0.0000, 0.0000), Ru at (0.3333, 0.6667, 0.5000) and Se at (0.6667, 0.3333, 0.5000).

As for the energy above the most stable polymorph in this dataset: 0.4081 eV/atom. The calculation puts the uncorrected formation energy at 0.921 eV per formula unit.

Record 19
DFT (PBE) results for a geometry-optimized LaH2S structure.

The space group is Imm2 (No. 44) and the conventional cell measures 4.368, 5.408 and 5.838 Å, with angles of 90.00, 90.00 and 90.00 degrees. The distinct sites, in fractional coordinates, are La at (0.000, 0.000, 0.000), H at (0.000, 0.420, 0.300) and S at (0.000, 0.500, 0.811).

As for the energy above the most stable polymorph in this dataset: 0.0661 eV/atom.

Record 20
DFT (PBE) results for a geometry-optimized Gd2OsCl structure.

The space group is R-3m (No. 166, hexagonal axes) and the conventional cell measures 4.0113, 4.0113 and 22.2661 Å, with angles of 90.00, 90.00 and 120.00 degrees. The distinct sites, in fractional coordinates, are Gd at (0.0000, 0.0000, 0.2351), Os at (0.0000, 0.0000, 0.5000) and Cl at (0.0000, 0.0000, 0.0000).

As for the energy above the most stable polymorph in this dataset: 0.0605 eV/atom. The calculation puts the uncorrected formation energy at -3.083 eV per formula unit.